## TaMn (SCAN)

Data for a crystal of TaMn relaxed with PBEsol.

Calculated values
Its total energy is -1.548 hartree per atom. As for the total magnetization: 0.0 μB per cell.

a b c (Å): 2.980 2.980 7.541
angles (deg): 90.00 90.00 120.00
Element x y z (fractional)
1 Ta 0.000 0.000 0.000
2 Ta 0.000 0.000 0.500
3 Mn 0.333 0.667 0.250
4 Mn 0.667 0.333 0.750